{
  "formula": "ZrSb2Te",
  "functional": "GGA-PBE",
  "state": "relaxed",
  "formation_energy_uncorrected_ev_per_atom": -0.238,
  "dft_energy_ev_per_cell": -20.886,
  "magmom_total_mub_per_atom": 0.000,
  "dos_ef_per_ev_atom": 0.522,
  "space_group": "Pm, No. 6",
  "lattice_angstrom": [[4.957, 0.000, 0.000], [0.000, 3.935, -0.001], [0.000, 1.972, 5.403]],
  "species": ["Sb", "Sb", "Te", "Zr"],
  "fractional_positions": [[0.000, 0.972, 0.930], [0.500, 0.270, 0.334], [0.000, 0.705, 0.469], [0.500, 0.553, 0.767]]
}


{
  "formula": "ZnCoP3",
  "functional": "GGA-PBE",
  "state": "relaxed",
  "delta_e_f_ev_per_atom": 0.580,
  "dft_energy_ev_per_cell": -21.712,
  "magmom_total_mub_per_atom": 0.000,
  "dos_ef_per_ev_atom": 1.345,
  "space_group": "Pm-3m, No. 221",
  "lattice_angstrom": [[4.390, 0.000, 0.000], [0.000, 4.390, 0.000], [0.000, 0.000, 4.390]],
  "species": ["P", "P", "P", "Zn", "Co"],
  "fractional_positions": [[0.000, 0.500, 0.000], [0.500, 0.000, 0.000], [0.000, 0.000, 0.500], [0.500, 0.500, 0.500], [0.000, 0.000, 0.000]]
}